<1>
Material: PAuCl2
Method: DFT, GGA-PBEsol
State: relaxed

Values from the calculation:
Space-group type: Cmmm (65)
M_tot: 0.0 μB/cell
N(E_F): 2.1 states/eV per cell

abc: 2.988 5.116 5.116
angles: 90.24 90.00 90.00
Element x y z (fractional)
Cl 0.000 0.000 0.500
Cl 0.000 0.500 0.000
Au 0.000 0.500 0.500
P 0.000 0.000 0.000

=====

<2>
Material: PAuCl2
Method: DFT, GGA-PBEsol
State: relaxed

Values from the calculation:
Space-group type: Pmmm (47)
M_tot: 0.0 μB/cell
N(E_F): 2.7 states/eV per cell

abc: 3.010 4.216 5.798
angles: 90.00 90.00 90.00
Element x y z (fractional)
Cl 0.500 0.000 0.500
Cl 0.000 0.000 0.000
Au 0.000 0.500 0.500
P 0.500 0.500 0.000

=====

Which of them is the least stable? Correct choice: <2>.

=====

<1>
Material: PbAuCl2
Method: DFT, GGA-PBEsol
State: relaxed

Values from the calculation:
Space-group type: Fm-3m (225)
M_tot: 0.0 μB/cell
N(E_F): 1.7 states/eV per cell

abc: 4.993 4.993 4.993
angles: 60.00 60.00 60.00
Element x y z (fractional)
Cl 0.750 0.750 0.750
Cl 0.250 0.250 0.250
Au 0.000 0.000 0.000
Pb 0.500 0.500 0.500

=====

<2>
Material: PbAuCl2
Method: DFT, GGA-PBEsol
State: relaxed

Values from the calculation:
Space-group type: Pmmm (47)
M_tot: 0.0 μB/cell
N(E_F): 1.4 states/eV per cell

abc: 3.844 4.250 5.407
angles: 90.00 90.00 90.00
Element x y z (fractional)
Cl 0.000 0.000 0.000
Cl 0.500 0.000 0.500
Au 0.000 0.500 0.500
Pb 0.500 0.500 0.000

=====

<3>
Material: PbAuCl2
Method: DFT, GGA-PBEsol
State: relaxed

Values from the calculation:
Space-group type: P4mm (99)
M_tot: 0.0 μB/cell
N(E_F): 2.1 states/eV per cell

abc: 3.496 3.496 7.577
angles: 90.00 90.00 90.00
Element x y z (fractional)
Cl 0.500 0.500 0.291
Cl 0.000 0.000 0.932
Au 0.500 0.500 0.757
Pb 0.000 0.000 0.520

=====

Which of them is the least stable? Correct choice: <2>.

=====

<1>
Material: Ru2AuCl
Method: DFT, GGA-PBEsol
State: relaxed

Values from the calculation:
Space-group type: Pmmm (47)
M_tot: 0.7 μB/cell
N(E_F): 6.4 states/eV per cell

abc: 2.740 4.541 4.907
angles: 90.00 90.00 90.00
Each line ends with the local moment (μB).
Element x y z (fractional)
Ru 0.500 0.000 0.500  0.24
Ru 0.000 0.000 0.000  0.37
Cl 0.000 0.500 0.500  0.01
Au 0.500 0.500 0.000  0.04

=====

<2>
Material: Ru2AuCl
Method: DFT, GGA-PBEsol
State: relaxed

Values from the calculation:
Space-group type: Cmm2 (35)
M_tot: 1.0 μB/cell
N(E_F): 4.3 states/eV per cell

abc: 2.767 2.795 9.325
angles: 90.00 90.00 119.66
Each line ends with the local moment (μB).
Element x y z (fractional)
Cl 0.500 0.000 0.787  0.04
Ru 0.000 0.000 0.000  0.23
Ru 0.500 0.000 0.226  0.64
Au 0.000 0.000 0.487  0.01

=====

Which of them is the least stable? Correct choice: <1>.

=====

<1>
Material: Ru2AuCl
Method: DFT, GGA-PBEsol
State: relaxed

Values from the calculation:
Space-group type: R-3m (166)
M_tot: 0.0 μB/cell
N(E_F): 4.4 states/eV per cell

abc: 2.837 2.837 8.416
angles: 80.30 80.30 60.00
Element x y z (fractional)
Au 0.500 0.500 0.500
Ru 0.257 0.257 0.230
Ru 0.743 0.743 0.770
Cl 0.000 0.000 0.000

=====

<2>
Material: Ru2AuCl
Method: DFT, GGA-PBEsol
State: relaxed

Values from the calculation:
Space-group type: Cmmm (65)
M_tot: 0.0 μB/cell
N(E_F): 4.3 states/eV per cell

abc: 2.835 4.595 4.595
angles: 100.22 90.00 90.00
Element x y z (fractional)
Ru 0.000 0.000 0.500
Ru 0.000 0.500 0.000
Cl 0.500 0.500 0.500
Au 0.500 0.000 0.000

=====

Which of them is the least stable? Correct choice: <2>.

=====

<1>
Material: SbAu2Cl
Method: DFT, GGA-PBEsol
State: relaxed

Values from the calculation:
Space-group type: Fm-3m (225)
M_tot: 0.0 μB/cell
N(E_F): 1.1 states/eV per cell

abc: 4.834 4.834 4.834
angles: 60.00 60.00 60.00
Element x y z (fractional)
Cl 0.000 0.000 0.000
Au 0.250 0.250 0.250
Au 0.750 0.750 0.750
Sb 0.500 0.500 0.500

=====

<2>
Material: SbAu2Cl
Method: DFT, GGA-PBEsol
State: relaxed

Values from the calculation:
Space-group type: Pmmm (47)
M_tot: 0.0 μB/cell
N(E_F): 1.3 states/eV per cell

abc: 3.022 4.742 5.568
angles: 90.00 90.00 90.00
Element x y z (fractional)
Cl 0.500 0.000 0.500
Au 0.500 0.500 0.000
Au 0.000 0.000 0.000
Sb 0.000 0.500 0.500

=====

Which of them is the least stable? Correct choice: <1>.

=====

<1>
Material: ScAuCl2
Method: DFT, GGA-PBEsol
State: relaxed

Values from the calculation:
Space-group type: Cmmm (65)
M_tot: 0.0 μB/cell
N(E_F): 0.8 states/eV per cell

abc: 3.485 5.381 6.353
angles: 115.03 90.00 90.00
Element x y z (fractional)
Cl 0.000 0.850 0.200
Cl 0.000 0.150 0.800
Au 0.500 0.500 0.500
Sc 0.500 0.000 0.500

=====

<2>
Material: ScAuCl2
Method: DFT, GGA-PBEsol
State: relaxed

Values from the calculation:
Space-group type: P4/mmm (123)
M_tot: 0.0 μB/cell
N(E_F): 1.4 states/eV per cell

abc: 3.962 4.306 4.306
angles: 90.00 90.00 90.00
Element x y z (fractional)
Cl 0.000 0.500 0.000
Cl 0.000 0.000 0.500
Sc 0.500 0.500 0.500
Au 0.500 0.000 0.000

=====

Which of them is the least stable? Correct choice: <2>.